NpNi4Rh: optimized geometry, PBE-GGA.

**Fermi-level density of states**: 11.74 states/eV per cell
**Magnetic moment**: 0.12 μB/atom
**ΔE_f**: -0.165 eV per atom
**SG**: F-43m (216)

Lattice parameters (Å, degrees): 4.8516 4.8516 4.8516 60.00 60.00 60.00
With the nearest neighbours (Å) after each atom.
Element x y z (fractional)
Np 0.0000 0.0000 0.0000  12 Ni 2.85, 4 Rh 2.97
Ni 0.3754 0.3754 0.3754  6 Ni 2.42-2.43
Ni 0.3754 0.3754 0.8739  6 Ni 2.42-2.43
Ni 0.3754 0.8739 0.3754  6 Ni 2.42-2.43
Ni 0.8739 0.3754 0.3754  6 Ni 2.42-2.43
Rh 0.7500 0.7500 0.7500  12 Ni 2.84, 4 Np 2.97

CrHRh: optimized geometry, PBE-GGA.

**Fermi-level density of states**: 2.25 states/eV per cell
**Magnetic moment**: 0.36 μB/atom
**Calculated total energy**: -19.30 eV/cell
**SG**: P3m1 (156)

Lattice parameters (Å, degrees): 3.6906 3.6906 2.6709 90.00 90.00 120.00
With the nearest neighbours (Å) after each atom.
Element x y z (fractional)
Cr 0.0000 0.0000 0.0000  3 H 2.29, 3 Rh 2.45
H 0.3333 0.6667 0.6812  3 Rh 2.16, 3 Cr 2.29
Rh 0.6667 0.3333 0.5484  3 H 2.16

DyTm2Tl3: optimized geometry, PBE-GGA.

**Fermi-level density of states**: 4.22 states/eV per cell
**Magnetic moment**: 0.00 μB/atom
**ΔE_f**: -0.315 eV per atom
**SG**: P4/mmm (123)

Lattice parameters (Å, degrees): 3.6289 3.6289 12.2158 90.00 90.00 90.00
With the nearest neighbours (Å) after each atom.
Element x y z (fractional)
Dy 0.0000 0.0000 0.0000  8 Tl 3.30, 4 Dy 3.63
Tm 0.0000 0.0000 0.3345  8 Tl 3.26-3.27, 4 Tm 3.63
Tm 0.0000 0.0000 0.6655  8 Tl 3.26-3.27, 4 Tm 3.63
Tl 0.5000 0.5000 0.1693  4 Tm 3.26, 4 Dy 3.30, 4 Tl 3.63
Tl 0.5000 0.5000 0.5000  8 Tm 3.27, 4 Tl 3.63
Tl 0.5000 0.5000 0.8307  4 Tm 3.26, 4 Dy 3.30, 4 Tl 3.63

AlZn3Ir: optimized geometry, PBE-GGA.

**Fermi-level density of states**: 1.51 states/eV per cell
**Magnetic moment**: 0.00 μB/atom
**ΔE_f**: 0.347 eV per atom
**SG**: Pm-3m (221)

Lattice parameters (Å, degrees): 4.8155 4.8155 4.8155 90.00 90.00 90.00
With the nearest neighbours (Å) after each atom.
Element x y z (fractional)
Al 0.0000 0.0000 0.0000  12 Zn 3.41
Zn 0.0000 0.5000 0.5000  2 Ir 2.41
Zn 0.5000 0.0000 0.5000  2 Ir 2.41
Zn 0.5000 0.5000 0.0000  2 Ir 2.41
Ir 0.5000 0.5000 0.5000  6 Zn 2.41

VZnRh3: optimized geometry, PBE-GGA.

**Fermi-level density of states**: 9.05 states/eV per cell
**Magnetic moment**: 0.00 μB/atom
**ΔE_f**: 0.211 eV per atom
**SG**: Cmcm (63)

Lattice parameters (Å, degrees): 6.2613 6.2613 4.4098 90.00 90.00 116.12
With the nearest neighbours (Å) after each atom.
Element x y z (fractional)
V 0.1403 0.8597 0.7500  8 Rh 2.62-2.75
V 0.8597 0.1403 0.2500  8 Rh 2.62-2.75
Zn 0.5000 0.5000 0.0000  2 Zn 2.20, 2 Rh 2.45
Zn 0.5000 0.5000 0.5000  2 Zn 2.20, 2 Rh 2.45
Rh 0.1086 0.2838 0.7500  2 Zn 2.48, 2 Rh 2.55-2.60, 3 V 2.62-2.75
Rh 0.2838 0.1086 0.2500  2 Zn 2.48, 2 Rh 2.55-2.60, 3 V 2.62-2.75
Rh 0.2945 0.7055 0.2500  2 Zn 2.45, 2 Rh 2.55
Rh 0.7055 0.2945 0.7500  2 Zn 2.45, 2 Rh 2.55
Rh 0.7162 0.8914 0.7500  2 Zn 2.48, 2 Rh 2.55-2.60, 3 V 2.62-2.75
Rh 0.8914 0.7162 0.2500  2 Zn 2.48, 2 Rh 2.55-2.60, 3 V 2.62-2.75

PrHoNiGe: optimized geometry, PBE-GGA.

**Fermi-level density of states**: 1.77 states/eV per cell
**Magnetic moment**: 0.00 μB/atom
**ΔE_f**: -0.465 eV per atom
**SG**: F-43m (216)

Lattice parameters (Å, degrees): 5.0300 5.0300 5.0300 60.00 60.00 60.00
With the nearest neighbours (Å) after each atom.
Element x y z (fractional)
Pr 0.0000 0.0000 0.0000  4 Ge 3.08, 4 Ni 3.08
Ho 0.5000 0.5000 0.5000  4 Ge 3.08, 4 Ni 3.08
Ni 0.2500 0.2500 0.2500  4 Ho 3.08, 4 Pr 3.08
Ge 0.7500 0.7500 0.7500  4 Pr 3.08, 4 Ho 3.08

The highest magnetic moment belongs to which entry? CrHRh

Repeat the third record exactly.
DyTm2Tl3: optimized geometry, PBE-GGA.

**Fermi-level density of states**: 4.22 states/eV per cell
**Magnetic moment**: 0.00 μB/atom
**ΔE_f**: -0.315 eV per atom
**SG**: P4/mmm (123)

Lattice parameters (Å, degrees): 3.6289 3.6289 12.2158 90.00 90.00 90.00
With the nearest neighbours (Å) after each atom.
Element x y z (fractional)
Dy 0.0000 0.0000 0.0000  8 Tl 3.30, 4 Dy 3.63
Tm 0.0000 0.0000 0.3345  8 Tl 3.26-3.27, 4 Tm 3.63
Tm 0.0000 0.0000 0.6655  8 Tl 3.26-3.27, 4 Tm 3.63
Tl 0.5000 0.5000 0.1693  4 Tm 3.26, 4 Dy 3.30, 4 Tl 3.63
Tl 0.5000 0.5000 0.5000  8 Tm 3.27, 4 Tl 3.63
Tl 0.5000 0.5000 0.8307  4 Tm 3.26, 4 Dy 3.30, 4 Tl 3.63